A relaxed structure of Ba3PuCo2O9, computed with PBE with a Hubbard U.

Summary:
- Crystal system: trigonal
- Uncorrected energy: -107.3 eV per formula unit
- N(E_F): 0.41 states/eV per atom

Unit cell a=5.8728 b=5.8728 c=7.2110 alpha=90.00 beta=90.00 gamma=120.00
Closest atoms and distances in Å follow each position.
Atoms (fractional coordinates):
1 Ba 0.0000 0.0000 0.0000  12 O 2.94
2 Ba 0.3333 0.6667 0.6843  12 O 2.84-3.05
3 Ba 0.6667 0.3333 0.3157  12 O 2.84-3.05
4 Pu 0.0000 0.0000 0.5000  6 O 2.04
5 Co 0.3333 0.6667 0.1365  3 O 1.96
6 Co 0.6667 0.3333 0.8635  3 O 1.96
7 O 0.0000 0.5000 0.0000  2 Co 1.96
8 O 0.1632 0.3265 0.3357  1 Pu 2.04, 1 Co 2.25
9 O 0.1632 0.8368 0.3357  1 Pu 2.04, 1 Co 2.25
10 O 0.3265 0.1632 0.6643  1 Pu 2.04, 1 Co 2.25
11 O 0.5000 0.0000 0.0000  2 Co 1.96
12 O 0.5000 0.5000 0.0000  2 Co 1.96
13 O 0.6735 0.8368 0.3357  1 Pu 2.04, 1 Co 2.25
14 O 0.8368 0.1632 0.6643  1 Pu 2.04, 1 Co 2.25
15 O 0.8368 0.6735 0.6643  1 Pu 2.04, 1 Co 2.25